(1)
Here is a relaxed Zn2MoP crystal from the Alexandria database. Energies are from GGA-PBE.

Computed properties:
The total moment is 0.0 μB/cell. For the formation energy from the elements, the calculation gives 0.10 eV per atom. As for the density of states at the Fermi level: 0.540 states/eV per atom.

Cell lengths 3.493, 3.493, 4.871 Å; angles 90.00, 90.00, 90.00 degrees
Space group P4/mmm (No. 123)
One atom of each set of equivalent atoms:
Zn 0.000 0.000 0.248 [2 per cell]
Mo 0.500 0.500 0.000 [1 per cell]
P 0.500 0.500 0.500 [1 per cell]

(2)
Here is a relaxed ZnMoP crystal from the Alexandria database. Energies are from GGA-PBE.

Computed properties:
The total moment is 0.0 μB/cell. For the formation energy from the elements, the calculation gives -0.15 eV per atom. As for the density of states at the Fermi level: 0.718 states/eV per atom.

Cell lengths 3.127, 3.127, 8.923 Å; angles 90.00, 90.00, 90.00 degrees
Space group I4mm (No. 107)
One atom of each set of equivalent atoms:
Zn 0.000 0.000 0.000 [2 per cell]
Mo 0.000 0.000 0.308 [2 per cell]
P 0.000 0.000 0.681 [2 per cell]

(3)
Here is a relaxed Zn2MoP crystal from the Alexandria database. Energies are from GGA-PBE.

Computed properties:
The total moment is 0.0 μB/cell. For the formation energy from the elements, the calculation gives 0.01 eV per atom. As for the density of states at the Fermi level: 0.661 states/eV per atom.

Cell lengths 3.0177, 3.0177, 23.9184 Å; angles 90.00, 90.00, 120.00 degrees
Space group R3m (No. 160, hexagonal axes)
One atom of each set of equivalent atoms:
Zn 0.0000 0.0000 0.0000 [3 per cell]
Zn 0.0000 0.0000 0.2464 [3 per cell]
Mo 0.0000 0.0000 0.7577 [3 per cell]
P 0.0000 0.0000 0.4936 [3 per cell]